# 1
First-principles (PBE-GGA) data for a relaxed structure of Er8GaTe4S3, as listed in the Alexandria database.

Fermi-level density of states ... 19.2 states/eV/cell
Formation energy (no corrections) ... -1453.5 meV per atom
Total magnetic moment ... 0.000 μB/cell
VASP energy ... -5.483 eV/atom

a b c (Å): 8.1433 8.1433 20.9336
angles (deg): 90.00 90.00 120.00
Closest atoms and distances in Å follow each position.
Space group R-3m (No. 166, hexagonal axes)
Symmetry-distinct sites (fractional):
1 Er 0.0000 0.0000 0.2344 [6 per cell]  3 S 2.75
2 Er 0.0000 0.5000 0.2370 [18 per cell]  2 S 2.77, 1 Ga 2.77, 3 Te 3.10
3 Ga 0.0000 0.0000 0.5000 [3 per cell]  6 Er 2.77
4 Te 0.0000 0.0000 0.0000 [3 per cell]  6 Er 3.10
5 Te 0.0000 0.5000 0.0000 [9 per cell]  6 Er 3.10-3.13
6 S 0.0000 0.5000 0.5000 [9 per cell]  6 Er 2.75-2.77

***

# 2
First-principles (PBE-GGA) data for a relaxed structure of SiSeBr2F, as listed in the Alexandria database.

Fermi-level density of states ... 3.0 states/eV/cell
Formation energy (no corrections) ... 355.5 meV per atom
Total magnetic moment ... 1.126 μB/cell
VASP energy ... -2.469 eV/atom
E above lowest polymorph ... 300 meV/atom

a b c (Å): 5.5788 5.5788 3.9033
angles (deg): 90.00 90.00 90.00
Closest atoms and distances in Å follow each position.
Space group P4/mmm (No. 123)
Symmetry-distinct sites (fractional):
1 Si 0.0000 0.0000 0.0000 [1 per cell]  8 Br 3.40
2 Se 0.5000 0.5000 0.0000 [1 per cell]  2 F 1.95
3 Br 0.0000 0.5000 0.5000 [2 per cell]  2 F 2.79
4 F 0.5000 0.5000 0.5000 [1 per cell]  2 Se 1.95